A plane-wave DFT calculation with PBE-GGA was carried out for a relaxed BaAgB4 crystal.

Values from the calculation:
Symmetry: Immm

```
6
Lattice="-1.560 2.733 4.810 1.560 -2.733 4.810 1.560 2.733 -4.810" Properties=species:S:1:pos:R:3 pbc="T T T"
B 1.560 0.910 2.397
B 0.000 1.823 2.413
B 1.560 -0.910 2.397
B 0.000 3.643 2.413
Ba 0.000 0.000 4.810
Ag 0.000 0.000 0.000
```


A plane-wave DFT calculation with PBE-GGA was carried out for a relaxed Ba2AgB crystal.

Values from the calculation:
Symmetry: F-43m

```
4
Lattice="-2.353 0.136 4.765 -5.249 -0.744 0.395 -1.895 -4.474 2.157" Properties=species:S:1:pos:R:3 pbc="T T T"
Ba 0.000 0.000 0.000
Ba -2.374 -1.271 1.829
Ag -4.748 -2.541 3.658
B -7.123 -3.812 5.487
```


A plane-wave DFT calculation with PBE-GGA was carried out for a relaxed BaAgBO3 crystal.

Values from the calculation:
Symmetry: C2/m

```
12
Lattice="-1.301 4.371 3.265 0.739 -0.290 5.552 5.814 1.707 -1.707" Properties=species:S:1:pos:R:3 pbc="T T T"
O 4.729 2.285 0.438
O 0.934 3.975 4.348
O 1.809 1.975 5.330
O 3.443 3.813 1.780
O 4.319 1.813 2.761
O 0.523 3.503 6.671
B 1.083 3.151 5.455
B 4.169 2.637 1.654
Ba 1.315 1.805 2.505
Ba 3.937 3.983 4.605
Ag 0.000 0.000 0.000
Ag 2.907 0.853 -0.854
```


A plane-wave DFT calculation with PBE-GGA was carried out for a relaxed Ba2AgB2O6 crystal.

Values from the calculation:
Symmetry: C2/m

```
11
Lattice="5.020 -2.637 0.000 5.020 2.637 0.000 -2.976 0.000 5.693" Properties=species:S:1:pos:R:3 pbc="T T T"
Ag 0.000 0.000 0.000
B 3.873 0.000 1.363
B 3.190 0.000 4.331
O 2.467 1.183 4.102
O 4.596 -1.183 1.591
O 2.467 -1.183 4.102
O 4.596 1.183 1.591
O 4.488 0.000 4.718
O 2.575 0.000 0.976
Ba -0.014 0.000 3.958
Ba 7.077 0.000 1.736
```


A plane-wave DFT calculation with PBE-GGA was carried out for a relaxed BeAgB crystal.

Values from the calculation:
ΔE to the lowest computed polymorph, kJ/mol of atoms: 31.7
Symmetry: F-43m

```
3
Lattice="0.000 2.651 2.651 2.651 0.000 2.651 2.651 2.651 0.000" Properties=species:S:1:pos:R:3 pbc="T T T"
B 1.325 1.325 1.325
Ag 0.000 0.000 0.000
Be 3.976 3.976 3.976
```


A plane-wave DFT calculation with PBE-GGA was carried out for a relaxed BeAgB4 crystal.

Values from the calculation:
ΔE to the lowest computed polymorph, kJ/mol of atoms: 20.7
Symmetry: Immm

```
6
Lattice="-2.755 0.927 3.552 1.399 4.307 0.749 -2.201 -2.608 -3.069" Properties=species:S:1:pos:R:3 pbc="T T T"
B -1.542 1.801 -0.068
B -3.659 0.267 1.461
B 0.102 2.359 -0.228
B -2.015 0.824 1.300
Be 0.000 0.000 0.000
Ag -0.678 2.617 2.151
```


A plane-wave DFT calculation with PBE-GGA was carried out for a relaxed Be2AgB crystal.

Values from the calculation:
Symmetry: F-43m

```
4
Lattice="-3.713 -0.718 0.687 -1.554 0.978 3.377 -2.515 2.901 0.191" Properties=species:S:1:pos:R:3 pbc="T T T"
B -3.891 1.580 2.127
Be -5.837 2.371 3.191
Be 0.000 0.000 0.000
Ag -1.946 0.790 1.064
```


A plane-wave DFT calculation with PBE-GGA was carried out for a relaxed BeAgB crystal.

Values from the calculation:
ΔE to the lowest computed polymorph, kJ/mol of atoms: 0.0
Symmetry: F-43m

```
3
Lattice="-2.877 1.799 1.393 -2.271 1.829 -2.225 -3.400 -1.249 -0.580" Properties=species:S:1:pos:R:3 pbc="T T T"
B 0.000 0.000 0.000
Be -6.411 1.784 -1.059
Ag -2.137 0.595 -0.353
```


A plane-wave DFT calculation with PBE-GGA was carried out for a relaxed BeAgB4 crystal.

Values from the calculation:
ΔE to the lowest computed polymorph, kJ/mol of atoms: 0.0
Symmetry: P6/mmm

```
6
Lattice="2.975 0.000 0.000 -1.488 2.577 0.000 0.000 0.000 6.926" Properties=species:S:1:pos:R:3 pbc="T T T"
B 0.000 1.718 5.609
B 1.488 0.859 5.609
B 1.488 0.859 1.317
B 0.000 1.718 1.317
Ag 0.000 0.000 3.463
Be 0.000 0.000 0.000
```


A plane-wave DFT calculation with PBE-GGA was carried out for a relaxed BeCuAgB crystal.

Values from the calculation:
ΔE to the lowest computed polymorph, kJ/mol of atoms: 0.0
Symmetry: F-43m

```
4
Lattice="0.000 2.784 2.784 2.784 0.000 2.784 2.784 2.784 0.000" Properties=species:S:1:pos:R:3 pbc="T T T"
Cu 4.176 4.176 4.176
Be 2.784 2.784 2.784
Ag 1.392 1.392 1.392
B 0.000 0.000 0.000
```


A plane-wave DFT calculation with PBE-GGA was carried out for a relaxed BeCuAgB crystal.

Values from the calculation:
ΔE to the lowest computed polymorph, kJ/mol of atoms: 15.3
Symmetry: F-43m

```
4
Lattice="0.000 2.837 2.837 2.837 0.000 2.837 2.837 2.837 0.000" Properties=species:S:1:pos:R:3 pbc="T T T"
Ag 2.837 2.837 2.837
B 0.000 0.000 0.000
Cu 4.255 4.255 4.255
Be 1.418 1.418 1.418
```


A plane-wave DFT calculation with PBE-GGA was carried out for a relaxed BeFeAgB crystal.

Values from the calculation:
ΔE to the lowest computed polymorph, kJ/mol of atoms: 0.0
Total moment, μB/f.u.: 0.9
Symmetry: F-43m

```
4
Lattice="-2.195 -0.235 3.160 -3.832 -0.268 -0.330 -1.783 -3.306 0.867" Properties=species:S:1:pos:R:3 pbc="T T T"
Fe -5.857 -2.857 2.773
Ag -1.952 -0.952 0.924
Be -3.905 -1.905 1.849
B 0.000 0.000 0.000
```


Number 1: energy -0.3491 Ry/atom. Number 2: energy -0.1954 Ry/atom. Number 3: energy -0.4673 Ry/atom. Number 4: energy -0.4971 Ry/atom. Number 5: energy -0.2514 Ry/atom. Number 6: energy -0.3721 Ry/atom. Number 7: energy -0.2564 Ry/atom. Number 8: energy -0.2755 Ry/atom. Number 9: energy -0.3878 Ry/atom. Number 10: energy -0.2700 Ry/atom. Number 11: energy -0.2584 Ry/atom. Number 12: energy -0.3598 Ry/atom.